1.
Below is crystalline CdCoTe2 at its relaxed geometry, with properties calculated at the PBE level.

Geometry as CIF:
```
data_CdCoTe2
_space_group_name_H-M_alt 'P 1'
_space_group_IT_number 1
_cell_length_a 7.2052
_cell_length_b 7.2052
_cell_length_c 7.2052
_cell_angle_alpha 147.87
_cell_angle_beta 147.87
_cell_angle_gamma 46.08
loop_
_space_group_symop_operation_xyz
'x,y,z'
loop_
_atom_site_label
_atom_site_type_symbol
_atom_site_fract_x
_atom_site_fract_y
_atom_site_fract_z
Cd1 Cd 0.5000 0.5000 0.0000
Co1 Co 0.7500 0.2500 0.5000
Te1 Te 0.0000 0.0000 0.0000
Te2 Te 0.2500 0.7500 0.5000
```

Values from the calculation:
- space-group type = No. 119
- magnetization (μB per formula unit) = 2.2
- uncorrected formation energy (eV per atom) = 0.4466

***

2.
Below is crystalline CaAcPm2 at its relaxed geometry, with properties calculated at the PBE level.

Geometry as CIF:
```
data_CaAcPm2
_space_group_name_H-M_alt 'P 1'
_space_group_IT_number 1
_cell_length_a 3.7883
_cell_length_b 3.7883
_cell_length_c 12.5426
_cell_angle_alpha 81.31
_cell_angle_beta 81.31
_cell_angle_gamma 60.00
loop_
_space_group_symop_operation_xyz
'x,y,z'
loop_
_atom_site_label
_atom_site_type_symbol
_atom_site_fract_x
_atom_site_fract_y
_atom_site_fract_z
Ca1 Ca 0.5005 0.5005 0.4984
Ac1 Ac 0.6663 0.6663 0.0010
Pm1 Pm 0.0819 0.0819 0.7542
Pm2 Pm 0.2512 0.2512 0.2464
```

Values from the calculation:
- ΔE to the lowest computed polymorph (meV per atom) = 6
- space-group type = No. 160
- magnetization (μB per formula unit) = 0.0
- formation energy from the elements (eV/f.u.) = 0.24

***

3.
Below is crystalline AlPd2Au at its relaxed geometry, with properties calculated at the PBE level.

Geometry as CIF:
```
data_AlPd2Au
_space_group_name_H-M_alt 'P 1'
_space_group_IT_number 1
_cell_length_a 4.4636
_cell_length_b 4.4636
_cell_length_c 4.4684
_cell_angle_alpha 60.04
_cell_angle_beta 60.04
_cell_angle_gamma 60.00
loop_
_space_group_symop_operation_xyz
'x,y,z'
loop_
_atom_site_label
_atom_site_type_symbol
_atom_site_fract_x
_atom_site_fract_y
_atom_site_fract_z
Al1 Al 0.7498 0.7498 0.7505
Pd1 Pd 0.0003 0.0003 0.9992
Pd2 Pd 0.2501 0.2501 0.2498
Au1 Au 0.4998 0.4998 0.5005
```

Values from the calculation:
- space-group type = No. 216
- magnetization (μB per formula unit) = 0.0
- formation energy from the elements (eV/f.u.) = -1.82

***

4.
Below is crystalline CaPr2Sm5 at its relaxed geometry, with properties calculated at the PBE level.

Geometry as CIF:
```
data_CaPr2Sm5
_space_group_name_H-M_alt 'P 1'
_space_group_IT_number 1
_cell_length_a 3.6777
_cell_length_b 11.4721
_cell_length_c 9.0423
_cell_angle_alpha 129.37
_cell_angle_beta 101.73
_cell_angle_gamma 90.00
loop_
_space_group_symop_operation_xyz
'x,y,z'
loop_
_atom_site_label
_atom_site_type_symbol
_atom_site_fract_x
_atom_site_fract_y
_atom_site_fract_z
Ca1 Ca 0.0000 0.0000 0.0000
Pr1 Pr 0.2575 0.7575 0.5149
Pr2 Pr 0.7425 0.2425 0.4851
Sm1 Sm 0.0000 0.5000 0.0000
Sm2 Sm 0.6335 0.4058 0.2669
Sm3 Sm 0.3665 0.5942 0.7331
Sm4 Sm 0.6335 0.8611 0.2669
Sm5 Sm 0.3665 0.1389 0.7331
```

Values from the calculation:
- space-group type = No. 71
- magnetization (μB per formula unit) = 0.0
- formation energy from the elements (eV/f.u.) = 0.40